Record 1
# PBE-GGA CaTl2AuCl, optimized geometry
data_CaTl2AuCl
_chemical_formula_sum 'Ca1 Tl2 Au1 Cl1'
_cell_length_a 3.828
_cell_length_b 6.793
_cell_length_c 6.991
_cell_angle_alpha 108.38
_cell_angle_beta 105.73
_cell_angle_gamma 106.31
_symmetry_space_group_name_H-M 'P 1'
_symmetry_Int_Tables_number 1
_symmetry_space_group_name_Hall 'P 1'
loop_
_atom_site_label
_atom_site_type_symbol
_atom_site_fract_x
_atom_site_fract_y
_atom_site_fract_z
Ca1 Ca 0.000 0.000 0.000
Tl1 Tl 0.496 0.635 0.349
Tl2 Tl 0.672 0.448 0.879
Au1 Au 0.312 0.968 0.656
Cl1 Cl 0.718 0.133 0.306
# - calculated density (g/cm³) = 7.44



Record 2
# PBE-GGA CaTl2AuCl, optimized geometry
data_CaTl2AuCl
_chemical_formula_sum 'Ca1 Tl2 Au1 Cl1'
_cell_length_a 4.183
_cell_length_b 4.184
_cell_length_c 10.390
_cell_angle_alpha 85.70
_cell_angle_beta 86.04
_cell_angle_gamma 60.22
_symmetry_space_group_name_H-M 'P 1'
_symmetry_Int_Tables_number 1
_symmetry_space_group_name_Hall 'P 1'
loop_
_atom_site_label
_atom_site_type_symbol
_atom_site_fract_x
_atom_site_fract_y
_atom_site_fract_z
Ca1 Ca 0.000 0.000 0.000
Tl1 Tl 0.056 0.074 0.472
Tl2 Tl 0.356 0.364 0.782
Au1 Au 0.706 0.718 0.634
Cl1 Cl 0.652 0.649 0.128
# - calculated density (g/cm³) = 7.19



Record 3
# PBE-GGA CaTl2AuCl, optimized geometry
data_CaTl2AuCl
_chemical_formula_sum 'Ca1 Tl2 Au1 Cl1'
_cell_length_a 4.257
_cell_length_b 4.273
_cell_length_c 10.013
_cell_angle_alpha 102.30
_cell_angle_beta 90.57
_cell_angle_gamma 118.07
_symmetry_space_group_name_H-M 'P 1'
_symmetry_Int_Tables_number 1
_symmetry_space_group_name_Hall 'P 1'
loop_
_atom_site_label
_atom_site_type_symbol
_atom_site_fract_x
_atom_site_fract_y
_atom_site_fract_z
Ca1 Ca 0.000 0.000 0.000
Tl1 Tl 0.162 0.311 0.468
Tl2 Tl 0.588 0.196 0.779
Au1 Au 0.879 0.760 0.634
Cl1 Cl 0.380 0.746 0.129
# - calculated density (g/cm³) = 7.26



Number 1: excess energy over the best structure of this formula in the dataset 143 meV/atom, formation energy (no corrections) -0.64 eV/atom, total magnetization 0.00 μB/cell. Number 2: excess energy over the best structure of this formula in the dataset 58 meV/atom, formation energy (no corrections) -0.73 eV/atom, total magnetization 0.00 μB/cell. Number 3: excess energy over the best structure of this formula in the dataset 48 meV/atom, formation energy (no corrections) -0.74 eV/atom, total magnetization 0.00 μB/cell.